A relaxed structure of ErZn6Au6. Source: OQMD, functional PBE.

For the total magnetic moment, the calculation gives 0.00 Bohr magnetons per cell. The calculated total energy comes out at -73.0 eV for the cell shown.

It has space group Immm (No. 71), with a = 5.2526 Å, b = 9.0555 Å, c = 9.3623 Å, α = 90.00°, β = 90.00° and γ = 90.00°. The inequivalent atoms are Er at (0.0000, 0.0000, 0.0000), Zn at (0.0000, 0.2561, 0.5000), Zn at (0.2500, 0.2500, 0.2500), Au at (0.0000, 0.0000, 0.3362), Au at (0.0000, 0.3335, 0.0000) and Au at (0.0000, 0.5000, 0.3290).



A relaxed structure of ErZrAu6. Source: OQMD, functional PBE.

For the total magnetic moment, the calculation gives 0.00 Bohr magnetons per cell. The calculated total energy comes out at -37.7 eV for the cell shown.

It has space group Pmm2 (No. 25), with a = 4.9468 Å, b = 6.1411 Å, c = 5.0517 Å, α = 90.00°, β = 90.00° and γ = 90.00°. The inequivalent atoms are Er at (0.0000, 0.0000, 0.0000), Zr at (0.5000, 0.5000, 0.3146), Au at (0.0000, 0.2610, 0.4955), Au at (0.0000, 0.5000, 0.0027), Au at (0.5000, 0.0000, 0.3272) and Au at (0.5000, 0.2530, 0.8210).